VASP calculation (PBE) on a relaxed structure of PmCo2Os.

Values from the calculation:
As for the total energy: -6.9776 eV per atom. The symmetry is No. 12.

a = 4.178 Å, b = 5.391 Å, c = 4.305 Å
α = 128.77°, β = 90.00°, γ = 90.00°
Atoms (fractional coordinates):
1 Pm 0.500 0.500 0.000
2 Co 0.002 0.178 0.356
3 Co 0.998 0.822 0.644
4 Os 0.500 0.000 0.000

VASP calculation (PBE) on a relaxed structure of CeHo5Ir4.

Values from the calculation:
As for the total energy: -7.1246 eV per atom. The symmetry is No. 12.

a = 4.153 Å, b = 7.453 Å, c = 9.346 Å
α = 113.58°, β = 102.84°, γ = 90.00°
Atoms (fractional coordinates):
1 Ho 0.166 0.922 0.332
2 Ho 0.166 0.409 0.332
3 Ho 0.500 0.500 0.000
4 Ho 0.834 0.591 0.668
5 Ho 0.834 0.078 0.668
6 Ir 0.701 0.201 0.402
7 Ir 0.000 0.250 0.000
8 Ir 0.000 0.750 0.000
9 Ir 0.299 0.799 0.598
10 Ce 0.500 0.000 0.000

VASP calculation (PBE) on a relaxed structure of LuNp2C.

Values from the calculation:
As for the total energy: -9.5857 eV per atom. The symmetry is No. 166.

a = 3.268 Å, b = 3.268 Å, c = 9.473 Å
α = 80.07°, β = 80.07°, γ = 60.00°
Atoms (fractional coordinates):
1 Lu 0.500 0.500 0.500
2 C 0.000 0.000 0.000
3 Np 0.280 0.280 0.160
4 Np 0.720 0.720 0.840

VASP calculation (PBE) on a relaxed structure of K2TaOs.

Values from the calculation:
Its energy relative to the lowest polymorph listed for this composition is 0.352 eV per atom. As for the total energy: -5.3672 eV per atom. The symmetry is No. 44.

a = 7.230 Å, b = 7.230 Å, c = 7.230 Å
α = 153.01°, β = 127.92°, γ = 59.63°
Atoms (fractional coordinates):
1 K 0.990 0.990 0.000
2 K 0.291 0.791 0.500
3 Os 0.544 0.544 0.000
4 Ta 0.675 0.175 0.500

VASP calculation (PBE) on a relaxed structure of RbBeOF2.

Values from the calculation:
Its energy relative to the lowest polymorph listed for this composition is 2.132 eV per atom. As for the total energy: -2.5326 eV per atom. The value obtained for the uncorrected formation energy is 0.146 eV/atom. The symmetry is No. 123.

a = 4.827 Å, b = 4.827 Å, c = 4.439 Å
α = 90.00°, β = 90.00°, γ = 90.00°
Atoms (fractional coordinates):
1 Be 0.500 0.500 0.500
2 F 0.500 0.000 0.000
3 F 0.000 0.500 0.000
4 Rb 0.000 0.000 0.000
5 O 0.000 0.000 0.500

VASP calculation (PBE) on a relaxed structure of Rb3Th2AgTe6.

Values from the calculation:
As for the total energy: -4.3370 eV per atom. The value obtained for the uncorrected formation energy is -1.050 eV/atom. The symmetry is No. 12.

a = 8.009 Å, b = 8.009 Å, c = 8.926 Å
α = 98.48°, β = 98.48°, γ = 120.14°
Atoms (fractional coordinates):
1 Te 0.067 0.408 0.203
2 Te 0.933 0.592 0.797
3 Te 0.271 0.271 0.801
4 Te 0.408 0.067 0.203
5 Te 0.592 0.933 0.797
6 Te 0.729 0.729 0.199
7 Rb 0.500 0.500 0.500
8 Rb 0.838 0.162 0.500
9 Rb 0.162 0.838 0.500
10 Th 0.333 0.667 0.000
11 Th 0.667 0.333 0.000
12 Ag 0.000 0.000 0.000